## PmMgNb4N8 (PBE)

Data for PmMgNb4N8 after structural relaxation.

Lattice parameters (Å, degrees): 6.3654 6.3654 15.8739 90.00 90.00 120.00
Space group R3m (No. 160, hexagonal axes)
Asymmetric unit:
Pm  0.0000  0.0000  0.0000 [3 per cell]
Mg  0.0000  0.0000  0.6207 [3 per cell]
Nb  0.0000  0.0000  0.2471 [3 per cell]
Nb  0.1730  0.3460  0.4541 [9 per cell]
N  0.0000  0.0000  0.3775 [3 per cell]
N  0.0000  0.0000  0.8575 [3 per cell]
N  0.0462  0.5231  0.3842 [9 per cell]
N  0.1685  0.3371  0.2028 [9 per cell]

Calculated values
Total magnetic moment   0.0000 μB/atom
Formation energy without anion corrections   -0.86 eV/atom
E   -8.950 eV per atom

***

## LaSb2Se4 (PBE)

Data for LaSb2Se4 after structural relaxation.

Lattice parameters (Å, degrees): 7.738 7.738 7.648 90.00 90.00 90.00
Space group I4/m (No. 87)
Asymmetric unit:
La  0.000  0.000  0.000 [2 per cell]
Sb  0.000  0.500  0.250 [4 per cell]
Se  0.177  0.706  0.500 [8 per cell]

Calculated values
Total magnetic moment   0.0000 μB/atom
Formation energy without anion corrections   -0.47 eV/atom
E   -4.345 eV per atom

***

## ScAs2SeN (PBE)

Data for ScAs2SeN after structural relaxation.

Lattice parameters (Å, degrees): 4.319 4.319 4.547 90.00 90.00 90.00
Space group P4/mmm (No. 123)
Asymmetric unit:
Sc  0.000  0.000  0.000 [1 per cell]
As  0.000  0.500  0.500 [2 per cell]
Se  0.500  0.500  0.000 [1 per cell]
N  0.500  0.500  0.500 [1 per cell]

Calculated values
Total magnetic moment   0.0000 μB/atom
Formation energy without anion corrections   0.18 eV/atom
E   -5.306 eV per atom

***

## CaNpSn2 (PBE)

Data for CaNpSn2 after structural relaxation.

Lattice parameters (Å, degrees): 5.804 5.804 3.182 90.00 90.00 90.00
Space group P4/mmm (No. 123)
Asymmetric unit:
Ca  0.000  0.000  0.000 [1 per cell]
Np  0.500  0.500  0.000 [1 per cell]
Sn  0.000  0.500  0.500 [2 per cell]

Calculated values
Total magnetic moment   1.0671 μB/atom
DFT formation energy   -0.222 eV per atom
E   -5.959 eV per atom

***

## KScNi3 (PBE)

Data for KScNi3 after structural relaxation.

Lattice parameters (Å, degrees): 4.558 4.558 4.558 90.00 90.00 90.00
Space group Pm-3m (No. 221)
Asymmetric unit:
K  0.000  0.000  0.000 [1 per cell]
Sc  0.500  0.500  0.500 [1 per cell]
Ni  0.000  0.000  0.500 [3 per cell]

Calculated values
Total magnetic moment   0.0000 μB/atom
DFT formation energy   1.564 eV per atom
E   -3.391 eV per atom

***

## LiP2 (PBE)

Data for LiP2 after structural relaxation.

Lattice parameters (Å, degrees): 3.278 6.523 4.946 90.00 90.00 90.00
Space group Pnnm (No. 58)
Asymmetric unit:
Li  0.000  0.000  0.000 [2 per cell]
P  0.250  0.109  0.500 [4 per cell]

Calculated values
Total magnetic moment   0.0000 μB/atom
DFT formation energy   -0.264 eV per atom
E   -4.509 eV per atom

***

## Sm3DyGa (PBE)

Data for Sm3DyGa after structural relaxation.

Lattice parameters (Å, degrees): 11.994 9.100 7.791 90.00 130.47 90.00
Space group C2/m (No. 12)
Asymmetric unit:
Sm  0.058  0.000  0.334 [4 per cell]
Sm  0.227  0.310  0.761 [8 per cell]
Dy  0.063  0.500  0.265 [4 per cell]
Ga  0.246  0.500  0.121 [4 per cell]

Calculated values
Total magnetic moment   0.0000 μB/atom
DFT formation energy   -0.064 eV per atom
E   -4.421 eV per atom

***

## TmRuCl (PBE)

Data for TmRuCl after structural relaxation.

Lattice parameters (Å, degrees): 6.976 4.028 11.089 90.00 101.76 90.00
Space group C2/m (No. 12)
Asymmetric unit:
Tm  0.062  0.000  0.190 [4 per cell]
Ru  0.160  0.500  0.979 [4 per cell]
Cl  0.223  0.000  0.660 [4 per cell]

Calculated values
Total magnetic moment   0.0000 μB/atom
Formation energy without anion corrections   -1.10 eV/atom
E   -6.295 eV per atom